## a
The following is a DFT calculation (PBE-GGA) of crystalline Gd2Cd3Hg3 at its relaxed geometry.

## Properties
As for the volume: 23.952 A^3/atom.

Cell: 6.5739 4.9748 6.6651 Å, 90.00 118.47 90.00°
With the nearest neighbours (Å) after each atom.
Space group Pm (No. 6)
One atom of each set of equivalent atoms:
Gd  0.0000  0.0000  0.0000 (multiplicity 1)  6 Hg 3.13-3.30, 6 Cd 3.25-3.39
Gd  0.3327  0.5000  0.6846 (multiplicity 1)  6 Hg 3.11-3.35, 6 Cd 3.21-3.40
Cd  0.5015  0.0000  0.4961 (multiplicity 1)  6 Hg 3.09-3.37, 2 Cd 3.17-3.40, 4 Gd 3.21-3.39
Cd  0.8237  0.5000  0.1904 (multiplicity 1)  2 Cd 3.05, 5 Hg 3.11-3.33, 4 Gd 3.25-3.40
Cd  0.9814  0.0000  0.4910 (multiplicity 1)  4 Cd 3.05-3.40, 3 Hg 3.14-3.28, 4 Gd 3.22-3.34
Hg  0.3268  0.5000  0.1841 (multiplicity 1)  4 Cd 3.09-3.33, 4 Gd 3.13-3.35, 4 Hg 3.21-3.42
Hg  0.5023  0.0000  0.0016 (multiplicity 1)  4 Gd 3.11-3.30, 5 Cd 3.11-3.37, 2 Hg 3.21
Hg  0.8271  0.5000  0.6741 (multiplicity 1)  6 Cd 3.12-3.45, 4 Gd 3.14-3.29, 2 Hg 3.35-3.42

=====

## b
The following is a DFT calculation (PBE-GGA) of crystalline Gd2Cd3Hg3 at its relaxed geometry.

## Properties
As for the volume: 23.994 A^3/atom.

Cell: 4.9870 6.6917 11.5037 Å, 90.00 90.00 90.00°
With the nearest neighbours (Å) after each atom.
Space group Amm2 (No. 38)
One atom of each set of equivalent atoms:
Gd  0.0000  0.0000  0.0000 (multiplicity 2)  6 Hg 3.14-3.35, 6 Cd 3.24-3.34
Gd  0.5000  0.0000  0.3340 (multiplicity 2)  6 Hg 3.10-3.33, 6 Cd 3.22-3.35
Cd  0.0000  0.2367  0.7447 (multiplicity 4)  3 Cd 3.08-3.17, 4 Hg 3.12-3.36, 4 Gd 3.22-3.34
Cd  0.5000  0.0000  0.8202 (multiplicity 2)  4 Cd 3.08, 4 Hg 3.22-3.44, 4 Gd 3.24-3.35
Hg  0.0000  0.0000  0.4938 (multiplicity 2)  4 Gd 3.10-3.35, 4 Hg 3.18, 4 Cd 3.29-3.36
Hg  0.5000  0.2471  0.0824 (multiplicity 4)  4 Cd 3.12-3.44, 4 Gd 3.14-3.33, 4 Hg 3.18-3.38

=====

Energies relative to the most stable structure are a 0.000; b 0.006, reported in eV/atom.